Compound: CaRu2W
Source: Alexandria via LeMat-Bulk
Functional: SCAN
Structure: single point on PBEsol structure

## Properties
energy relative to the elements: 0.714 eV per atom
uncorrected energy: -1.3427 Ha/atom
total magnetization: 0.00 μB per formula unit

Unit cell a=3.782 b=3.782 c=8.986 alpha=90.00 beta=90.00 gamma=90.00
Space group I-4m2 (No. 119)
Inequivalent atoms, fractional coordinates:
Ca 0.000 0.000 0.000
Ru 0.000 0.000 0.500
Ru 0.000 0.500 0.250
W 0.000 0.500 0.750

***

Compound: CaY2Ru
Source: Alexandria via LeMat-Bulk
Functional: SCAN
Structure: single point on PBEsol structure

## Properties
energy relative to the elements: -0.028 eV per atom
uncorrected energy: -0.9214 Ha/atom
total magnetization: 0.16 μB per formula unit
energy above the most stable polymorph in this dataset: 240.1 meV per atom

Unit cell a=3.387 b=3.387 c=9.018 alpha=90.00 beta=90.00 gamma=90.00
Space group P4mm (No. 99)
Inequivalent atoms, fractional coordinates:
Ca 0.000 0.000 0.000
Y 0.000 0.000 0.364
Y 0.500 0.500 0.668
Ru 0.500 0.500 0.203

***

Compound: Ca2YRu
Source: Alexandria via LeMat-Bulk
Functional: SCAN
Structure: single point on PBEsol structure

## Properties
energy relative to the elements: -0.070 eV per atom
uncorrected energy: -0.7559 Ha/atom
total magnetization: 0.09 μB per formula unit
energy above the most stable polymorph in this dataset: 0.0 meV per atom

Unit cell a=3.453 b=3.453 c=9.260 alpha=90.00 beta=90.00 gamma=90.00
Space group P4mm (No. 99)
Inequivalent atoms, fractional coordinates:
Ca 0.000 0.000 0.000
Ca 0.500 0.500 0.338
Y 0.000 0.000 0.653
Ru 0.500 0.500 0.806